## A
Material: Tl2CdNi
Method: DFT, PBE-GGA
State: optimized geometry

Calculated values
Volume in A^3/atom: 22.16
Magnetic moment in μB/f.u.: 0.0

a b c (Å): 4.756 4.756 7.838
angles (deg): 90.00 90.00 90.00
Space group I4/mmm (No. 139)
One atom of each set of equivalent atoms:
Tl 0.000 0.500 0.250 x4
Cd 0.000 0.000 0.000 x2
Ni 0.000 0.000 0.500 x2

## B
Material: Tl2CdNi
Method: DFT, PBE-GGA
State: optimized geometry

Calculated values
Volume in A^3/atom: 24.85
Magnetic moment in μB/f.u.: 0.0

a b c (Å): 5.201 3.347 6.231
angles (deg): 90.00 113.57 90.00
Space group Pm (No. 6)
One atom of each set of equivalent atoms:
Tl 0.000 0.000 0.000 x1
Tl 0.317 0.500 0.632 x1
Cd 0.635 0.000 0.279 x1
Ni 0.817 0.500 0.632 x1

Short version: B is the most stable of them.

## A
Material: Tl2CdNi
Method: DFT, PBE-GGA
State: optimized geometry

Calculated values
Volume in A^3/atom: 22.05
Magnetic moment in μB/f.u.: 0.0

a b c (Å): 4.375 4.375 9.216
angles (deg): 90.00 90.00 90.00
Space group I-4m2 (No. 119)
One atom of each set of equivalent atoms:
Tl 0.000 0.000 0.000 x2
Tl 0.000 0.500 0.250 x2
Cd 0.000 0.500 0.750 x2
Ni 0.000 0.000 0.500 x2

## B
Material: Tl2CdNi
Method: DFT, PBE-GGA
State: optimized geometry

Calculated values
Volume in A^3/atom: 23.03
Magnetic moment in μB/f.u.: 0.0

a b c (Å): 7.169 7.169 7.169
angles (deg): 90.00 90.00 90.00
Space group F-43m (No. 216)
One atom of each set of equivalent atoms:
Tl 0.000 0.000 0.000 x4
Tl 0.250 0.250 0.250 x4
Cd 0.000 0.000 0.500 x4
Ni 0.250 0.250 0.750 x4

Short version: A is the most stable of them.

## A
Material: Tl2CdNi
Method: DFT, PBE-GGA
State: optimized geometry

Calculated values
Volume in A^3/atom: 22.67
Magnetic moment in μB/f.u.: 0.0

a b c (Å): 3.267 3.267 8.495
angles (deg): 90.00 90.00 90.00
Space group P4/mmm (No. 123)
One atom of each set of equivalent atoms:
Tl 0.000 0.000 0.198 x2
Cd 0.500 0.500 0.500 x1
Ni 0.500 0.500 0.000 x1

## B
Material: Tl2CdNi
Method: DFT, PBE-GGA
State: optimized geometry

Calculated values
Volume in A^3/atom: 22.31
Magnetic moment in μB/f.u.: 0.0

a b c (Å): 6.594 7.216 3.752
angles (deg): 90.00 90.00 90.00
Space group Cmmm (No. 65)
One atom of each set of equivalent atoms:
Tl 0.250 0.250 0.000 x4
Cd 0.000 0.000 0.500 x2
Ni 0.000 0.500 0.500 x2

## C
Material: Tl2CdNi
Method: DFT, PBE-GGA
State: optimized geometry

Calculated values
Volume in A^3/atom: 26.09
Magnetic moment in μB/f.u.: 0.0

a b c (Å): 5.161 3.327 6.557
angles (deg): 90.00 112.06 90.00
Space group P2/m (No. 10)
One atom of each set of equivalent atoms:
Tl 0.173 0.000 0.339 x2
Cd 0.500 0.500 0.000 x1
Ni 0.000 0.500 0.000 x1

## D
Material: Tl2CdNi
Method: DFT, PBE-GGA
State: optimized geometry

Calculated values
Volume in A^3/atom: 22.76
Magnetic moment in μB/f.u.: 0.0

a b c (Å): 3.270 3.270 8.514
angles (deg): 90.00 90.00 90.00
Space group P4mm (No. 99)
One atom of each set of equivalent atoms:
Tl 0.000 0.000 0.000 x1
Tl 0.500 0.500 0.330 x1
Cd 0.000 0.000 0.628 x1
Ni 0.500 0.500 0.801 x1

Short version: D is the most stable of them.

## A
Material: TlCdNi
Method: DFT, PBE-GGA
State: optimized geometry

Calculated values
Volume in A^3/atom: 19.54
Magnetic moment in μB/f.u.: 0.0

a b c (Å): 5.376 9.559 18.252
angles (deg): 90.00 90.00 90.00
Space group Fddd (No. 70, origin choice 2)
One atom of each set of equivalent atoms:
Tl 0.125 0.286 0.125 x16
Cd 0.125 0.125 0.535 x16
Ni 0.125 0.125 0.254 x16

## B
Material: TlCdNi
Method: DFT, PBE-GGA
State: optimized geometry

Calculated values
Volume in A^3/atom: 19.63
Magnetic moment in μB/f.u.: 0.0

a b c (Å): 4.5990 4.5990 3.2148
angles (deg): 90.00 90.00 120.00
Space group P3m1 (No. 156)
One atom of each set of equivalent atoms:
Tl 0.0000 0.0000 0.0000 x1
Cd 0.6667 0.3333 0.4997 x1
Ni 0.3333 0.6667 0.9928 x1

## C
Material: TlCdNi
Method: DFT, PBE-GGA
State: optimized geometry

Calculated values
Volume in A^3/atom: 19.83
Magnetic moment in μB/f.u.: 0.0

a b c (Å): 3.181 3.181 11.759
angles (deg): 90.00 90.00 90.00
Space group I4mm (No. 107)
One atom of each set of equivalent atoms:
Tl 0.000 0.000 0.000 x2
Cd 0.000 0.000 0.281 x2
Ni 0.000 0.000 0.650 x2

## D
Material: TlCdNi
Method: DFT, PBE-GGA
State: optimized geometry

Calculated values
Volume in A^3/atom: 20.95
Magnetic moment in μB/f.u.: 0.0

a b c (Å): 6.311 6.311 6.311
angles (deg): 90.00 90.00 90.00
Space group F-43m (No. 216)
One atom of each set of equivalent atoms:
Tl 0.000 0.000 0.000 x4
Cd 0.000 0.000 0.500 x4
Ni 0.250 0.250 0.250 x4

Short version: A is the most stable of them.

## A
Material: Tm2CdNi
Method: DFT, PBE-GGA
State: optimized geometry

Calculated values
Volume in A^3/atom: 29.56
Magnetic moment in μB/f.u.: 0.0

a b c (Å): 3.8258 3.8258 27.9871
angles (deg): 90.00 90.00 120.00
Space group R-3m (No. 166, hexagonal axes)
One atom of each set of equivalent atoms:
Tm 0.0000 0.0000 0.1153 x6
Cd 0.0000 0.0000 0.0000 x3
Ni 0.0000 0.0000 0.5000 x3

## B
Material: Tm2CdNi
Method: DFT, PBE-GGA
State: optimized geometry

Calculated values
Volume in A^3/atom: 21.80
Magnetic moment in μB/f.u.: 0.0

a b c (Å): 3.403 3.403 7.532
angles (deg): 90.00 90.00 90.00
Space group P4/mmm (No. 123)
One atom of each set of equivalent atoms:
Tm 0.000 0.000 0.212 x2
Cd 0.500 0.500 0.500 x1
Ni 0.500 0.500 0.000 x1

## C
Material: Tm2CdNi
Method: DFT, PBE-GGA
State: optimized geometry

Calculated values
Volume in A^3/atom: 21.89
Magnetic moment in μB/f.u.: 0.0

a b c (Å): 7.049 7.049 7.049
angles (deg): 90.00 90.00 90.00
Space group Fm-3m (No. 225)
One atom of each set of equivalent atoms:
Tm 0.250 0.250 0.250 x8
Cd 0.000 0.000 0.000 x4
Ni 0.000 0.000 0.500 x4

Short version: B is the most stable of them.

## A
Material: Tm12CdNi6
Method: DFT, PBE-GGA
State: optimized geometry

Calculated values
Volume in A^3/atom: 22.94
Magnetic moment in μB/f.u.: 0.0

a b c (Å): 9.552 9.552 9.552
angles (deg): 90.00 90.00 90.00
Space group Im-3 (No. 204)
One atom of each set of equivalent atoms:
Tm 0.000 0.302 0.187 x24
Cd 0.000 0.000 0.000 x2
Ni 0.000 0.124 0.500 x12

## B
Material: Tm12CdNi6
Method: DFT, PBE-GGA
State: optimized geometry

Calculated values
Volume in A^3/atom: 23.99
Magnetic moment in μB/f.u.: 0.0

a b c (Å): 13.5303 13.5303 8.6248
angles (deg): 90.00 90.00 120.00
Space group R-3 (No. 148, hexagonal axes)
One atom of each set of equivalent atoms:
Tm 0.0386 0.2572 0.4263 x18
Tm 0.0597 0.1790 0.8307 x18
Cd 0.0000 0.0000 0.5000 x3
Ni 0.0738 0.5009 0.7861 x18

Short version: A is the most stable of them.